[1]
Compound: Pr2HI
Source: Alexandria
Functional: PBE
Structure: relaxed

Lattice parameters (Å, degrees): 6.613 6.789 9.848 90.00 90.00 90.00
Atoms (fractional coordinates):
Pr: 0.346 0.438 0.893
Pr: 0.846 0.562 0.107
Pr: 0.846 0.062 0.393
Pr: 0.346 0.938 0.607
Pr: 0.378 0.823 0.215
Pr: 0.378 0.323 0.285
Pr: 0.878 0.677 0.715
Pr: 0.878 0.177 0.785
H: 0.982 0.481 0.894
H: 0.482 0.019 0.394
H: 0.482 0.519 0.106
H: 0.982 0.981 0.606
I: 0.048 0.122 0.087
I: 0.548 0.878 0.913
I: 0.548 0.378 0.587
I: 0.048 0.622 0.413

Results
As for the space group: No. 33. The value obtained for the raw total energy is -4.095 eV per atom.

---

[2]
Compound: TeRhSe2
Source: Alexandria
Functional: PBE
Structure: relaxed

Lattice parameters (Å, degrees): 3.242 4.802 5.024 90.00 90.00 90.00
Atoms (fractional coordinates):
Rh: 0.000 0.500 0.500
Se: 0.000 0.000 0.000
Se: 0.500 0.500 0.000
Te: 0.500 0.000 0.500

Results
As for the space group: No. 47. The calculation puts the uncorrected formation energy at 9.021 kcal/mol of atoms.

---

[3]
Compound: K2TlTe
Source: Alexandria
Functional: PBE
Structure: relaxed

Lattice parameters (Å, degrees): 5.357 4.963 5.564 89.92 90.00 90.00
Atoms (fractional coordinates):
K: 0.000 0.124 0.897
K: 0.500 0.126 0.355
Te: 0.000 0.625 0.424
Tl: 0.500 0.625 0.823

Results
As for the space group: No. 6. The calculation puts the uncorrected formation energy at -13.159 kcal/mol of atoms.

---

[4]
Compound: Li6Dy
Source: Alexandria
Functional: PBE
Structure: relaxed

Lattice parameters (Å, degrees): 5.904 5.904 5.904 109.47 109.47 109.47
Atoms (fractional coordinates):
Li: 0.250 0.750 0.500
Li: 0.500 0.750 0.250
Li: 0.250 0.500 0.750
Li: 0.750 0.250 0.500
Li: 0.500 0.250 0.750
Li: 0.750 0.500 0.250
Dy: 0.000 0.000 0.000

Results
As for the space group: No. 229. The formation energy is 0.394 eV per atom.

---

[5]
Compound: Tm3Sn3Ir2
Source: Alexandria
Functional: PBE
Structure: relaxed

Lattice parameters (Å, degrees): 4.550 5.809 14.896 90.00 90.00 113.05
Atoms (fractional coordinates):
Tm: 0.928 0.857 0.388
Tm: 0.072 0.143 0.888
Tm: 0.928 0.857 0.112
Tm: 0.072 0.143 0.612
Tm: 0.657 0.315 0.250
Tm: 0.343 0.685 0.750
Sn: 0.634 0.269 0.467
Sn: 0.366 0.731 0.967
Sn: 0.634 0.269 0.033
Sn: 0.366 0.731 0.533
Sn: 0.364 0.728 0.250
Sn: 0.636 0.272 0.750
Ir: 0.799 0.598 0.888
Ir: 0.201 0.402 0.388
Ir: 0.799 0.598 0.612
Ir: 0.201 0.402 0.112

Results
As for the space group: No. 63. The formation energy is -0.773 eV per atom.

---

[6]
Compound: KFeOs2
Source: Alexandria
Functional: PBE
Structure: relaxed

Lattice parameters (Å, degrees): 10.182 10.182 10.182 15.39 15.39 15.39
Atoms (fractional coordinates):
Fe: 0.250 0.250 0.250
K: 0.750 0.750 0.750
Os: 0.985 0.985 0.985
Os: 0.515 0.515 0.515

Results
As for the space group: No. 166. The formation energy is 0.760 eV per atom.

---

[7]
Compound: OsRu2Pb
Source: Alexandria
Functional: PBE
Structure: relaxed

Lattice parameters (Å, degrees): 4.842 4.842 4.950 80.01 80.01 35.18
Atoms (fractional coordinates):
Os: 0.488 0.488 0.551
Pb: 0.251 0.251 0.237
Ru: 0.011 0.011 0.981
Ru: 0.751 0.751 0.731

Results
As for the space group: No. 8. The formation energy is 0.589 eV per atom.

---

[8]
Compound: Mg15In2Ga2
Source: Alexandria
Functional: PBE
Structure: relaxed

Lattice parameters (Å, degrees): 7.832 7.832 7.832 79.78 79.78 79.78
Atoms (fractional coordinates):
Mg: 0.000 0.500 0.000
Mg: 0.000 0.000 0.500
Mg: 0.500 0.000 0.000
Mg: 0.331 0.000 0.669
Mg: 0.669 0.331 0.000
Mg: 0.000 0.669 0.331
Mg: 0.331 0.669 0.000
Mg: 0.000 0.331 0.669
Mg: 0.669 0.000 0.331
Mg: 0.332 0.835 0.332
Mg: 0.332 0.332 0.835
Mg: 0.835 0.332 0.332
Mg: 0.668 0.165 0.668
Mg: 0.668 0.668 0.165
Mg: 0.165 0.668 0.668
In: 0.711 0.711 0.711
In: 0.289 0.289 0.289
Ga: 0.914 0.914 0.914
Ga: 0.086 0.086 0.086

Results
As for the space group: No. 166. The formation energy is 0.083 eV per atom.

---

[9]
Compound: Pm2PrNd2Tm
Source: Alexandria
Functional: PBE
Structure: relaxed

Lattice parameters (Å, degrees): 5.755 7.109 9.967 90.00 90.00 90.00
Atoms (fractional coordinates):
Pm: 0.000 0.258 0.837
Pm: 0.500 0.258 0.330
Pm: 0.000 0.758 0.163
Pm: 0.500 0.758 0.670
Pr: 0.500 0.258 0.657
Pr: 0.500 0.758 0.343
Nd: 0.500 0.008 0.000
Nd: 0.000 0.257 0.177
Nd: 0.500 0.507 0.000
Nd: 0.000 0.757 0.823
Tm: 0.000 0.008 0.500
Tm: 0.000 0.508 0.500

Results
As for the space group: No. 51. The formation energy is 0.057 eV per atom.

---

[10]
Compound: YZrHg2
Source: Alexandria
Functional: PBE
Structure: relaxed

Lattice parameters (Å, degrees): 9.535 9.535 9.535 21.44 21.44 21.44
Atoms (fractional coordinates):
Hg: 0.003 0.003 0.003
Hg: 0.497 0.497 0.497
Y: 0.250 0.250 0.250
Zr: 0.750 0.750 0.750

Results
As for the space group: No. 166. The formation energy is -0.158 eV per atom.

---

[11]
Compound: Li4ErTl
Source: Alexandria
Functional: PBE
Structure: relaxed

Lattice parameters (Å, degrees): 5.504 5.504 5.504 60.00 60.00 60.00
Atoms (fractional coordinates):
Tl: 0.000 0.000 0.000
Li: 0.626 0.626 0.123
Li: 0.626 0.123 0.626
Li: 0.626 0.626 0.626
Li: 0.123 0.626 0.626
Er: 0.250 0.250 0.250

Results
As for the space group: No. 216. The formation energy is -0.092 eV per atom.

---

[12]
Compound: ZnAgRh
Source: Alexandria
Functional: PBE
Structure: relaxed

Lattice parameters (Å, degrees): 5.514 5.514 5.514 148.41 148.41 45.28
Atoms (fractional coordinates):
Ag: 0.005 0.005 0.000
Rh: 0.318 0.318 0.000
Zn: 0.677 0.677 0.000

Results
As for the space group: No. 107. The formation energy is -0.078 eV per atom.

---

What did the fifth record say?
Compound: Tm3Sn3Ir2
Source: Alexandria
Functional: PBE
Structure: relaxed

Lattice parameters (Å, degrees): 4.550 5.809 14.896 90.00 90.00 113.05
Atoms (fractional coordinates):
Tm: 0.928 0.857 0.388
Tm: 0.072 0.143 0.888
Tm: 0.928 0.857 0.112
Tm: 0.072 0.143 0.612
Tm: 0.657 0.315 0.250
Tm: 0.343 0.685 0.750
Sn: 0.634 0.269 0.467
Sn: 0.366 0.731 0.967
Sn: 0.634 0.269 0.033
Sn: 0.366 0.731 0.533
Sn: 0.364 0.728 0.250
Sn: 0.636 0.272 0.750
Ir: 0.799 0.598 0.888
Ir: 0.201 0.402 0.388
Ir: 0.799 0.598 0.612
Ir: 0.201 0.402 0.112

Results
As for the space group: No. 63. The formation energy is -0.773 eV per atom.